The following is a DFT calculation (PBE-GGA) of a relaxed structure of LaCoTc.

Properties
raw total energy = -6.777 eV per atom
formation enthalpy at 0 K = 0.6894 eV per atom
ΔE to the lowest computed polymorph = 624.9 meV per atom
crystal system = trigonal

Structure (CIF):
```
data_LaCoTc
_symmetry_space_group_name_H-M 'P 3 m 1'
_symmetry_Int_Tables_number 156
_cell_length_a 2.9172
_cell_length_b 2.9172
_cell_length_c 7.3345
_cell_angle_alpha 90.00
_cell_angle_beta 90.00
_cell_angle_gamma 120.00
loop_
_symmetry_equiv_pos_as_xyz
'x,y,z'
'-y,x-y,z'
'-x+y,-x,z'
'-y,-x,z'
'-x+y,y,z'
'x,x-y,z'
loop_
_atom_site_label
_atom_site_fract_x
_atom_site_fract_y
_atom_site_fract_z
La1 0.0000 0.0000 0.0000
Co1 0.6667 0.3333 0.6354
Tc1 0.3333 0.6667 0.3856
```



The following is a DFT calculation (PBE-GGA) of a relaxed structure of Cs3Se2Br.

Properties
raw total energy = -2.953 eV per atom
formation energy from raw total energies = -1.09 eV/atom
crystal system = hexagonal

Structure (CIF):
```
data_Cs3Se2Br
_symmetry_space_group_name_H-M 'P 63/m m c'
_symmetry_Int_Tables_number 194
_symmetry_space_group_name_Hall '-P 6c 2c'
_cell_length_a 9.0531
_cell_length_b 9.0531
_cell_length_c 8.0354
_cell_angle_alpha 90.00
_cell_angle_beta 90.00
_cell_angle_gamma 120.00
loop_
_atom_site_label
_atom_site_fract_x
_atom_site_fract_y
_atom_site_fract_z
Cs1 0.1809 0.3619 0.2500
Se1 0.3333 0.6667 0.5992
Br1 0.0000 0.0000 0.0000
```



The following is a DFT calculation (PBE-GGA) of a relaxed structure of ZrAl3Ru.

Properties
raw total energy = -6.396 eV per atom
formation enthalpy at 0 K = -0.5859 eV per atom
ΔE to the lowest computed polymorph = 0.0 meV per atom
crystal system = cubic

Structure (CIF):
```
data_ZrAl3Ru
_symmetry_space_group_name_H-M 'P m -3 m'
_symmetry_Int_Tables_number 221
_symmetry_space_group_name_Hall '-P 4 2 3'
_cell_length_a 6.2860
_cell_length_b 6.2860
_cell_length_c 6.2860
_cell_angle_alpha 90.00
_cell_angle_beta 90.00
_cell_angle_gamma 90.00
loop_
_atom_site_label
_atom_site_fract_x
_atom_site_fract_y
_atom_site_fract_z
Zr1 0.0000 0.0000 0.5000
Al1 0.0000 0.0000 0.0000
Al2 0.2871 0.2871 0.2871
Ru1 0.0000 0.5000 0.5000
```



The following is a DFT calculation (PBE-GGA) of a relaxed structure of PmNd6Ho3Er2.

Properties
raw total energy = -4.672 eV per atom
formation enthalpy at 0 K = 0.0129 eV per atom
crystal system = monoclinic

Structure (CIF):
```
data_PmNd6Ho3Er2
_symmetry_space_group_name_H-M 'C 1 2/m 1'
_symmetry_Int_Tables_number 12
_cell_length_a 6.2708
_cell_length_b 10.8596
_cell_length_c 11.8600
_cell_angle_alpha 90.00
_cell_angle_beta 100.11
_cell_angle_gamma 90.00
loop_
_symmetry_equiv_pos_as_xyz
'x,y,z'
'-x,-y,-z'
'-x,y,-z'
'x,-y,z'
'x+1/2,y+1/2,z'
'-x+1/2,-y+1/2,-z'
'-x+1/2,y+1/2,-z'
'x+1/2,-y+1/2,z'
loop_
_atom_site_label
_atom_site_fract_x
_atom_site_fract_y
_atom_site_fract_z
Pm1 0.0000 0.0000 0.0000
Nd1 0.2488 0.3330 0.7490
Nd2 0.2497 0.0000 0.7492
Ho1 0.0000 0.1668 0.5000
Ho2 0.0000 0.5000 0.5000
Er1 0.0000 0.3334 0.0000
```



The following is a DFT calculation (PBE-GGA) of a relaxed structure of Ba2Tl2In.

Properties
raw total energy = -2.419 eV per atom
formation enthalpy at 0 K = -0.1558 eV per atom
ΔE to the lowest computed polymorph = 252.3 meV per atom
crystal system = tetragonal

Structure (CIF):
```
data_Ba2Tl2In
_symmetry_space_group_name_H-M 'P 4/m b m'
_symmetry_Int_Tables_number 127
_symmetry_space_group_name_Hall '-P 4 2ab'
_cell_length_a 9.9283
_cell_length_b 9.9283
_cell_length_c 4.1062
_cell_angle_alpha 90.00
_cell_angle_beta 90.00
_cell_angle_gamma 90.00
loop_
_atom_site_label
_atom_site_fract_x
_atom_site_fract_y
_atom_site_fract_z
Ba1 0.1784 0.3216 0.0000
Tl1 0.1195 0.6195 0.5000
In1 0.0000 0.0000 0.0000
```



The following is a DFT calculation (PBE-GGA) of a relaxed structure of Ba3In2Pb2Au4.

Properties
raw total energy = -3.385 eV per atom
formation enthalpy at 0 K = -0.4967 eV per atom
crystal system = trigonal

Structure (CIF):
```
data_Ba3In2Pb2Au4
_symmetry_space_group_name_H-M 'P -3 m 1'
_symmetry_Int_Tables_number 164
_symmetry_space_group_name_Hall '-P 3 2"'
_cell_length_a 5.1166
_cell_length_b 5.1166
_cell_length_c 15.1792
_cell_angle_alpha 90.00
_cell_angle_beta 90.00
_cell_angle_gamma 120.00
loop_
_atom_site_label
_atom_site_fract_x
_atom_site_fract_y
_atom_site_fract_z
Ba1 0.0000 0.0000 0.0000
Ba2 0.0000 0.0000 0.2830
In1 0.3333 0.6667 0.1585
Pb1 0.3333 0.6667 0.5530
Au1 0.3333 0.6667 0.3575
Au2 0.3333 0.6667 0.8602
```



The following is a DFT calculation (PBE-GGA) of a relaxed structure of Pa2Co3NiGe4.

Properties
raw total energy = -7.021 eV per atom
formation enthalpy at 0 K = -0.5652 eV per atom
crystal system = tetragonal

Structure (CIF):
```
data_Pa2Co3NiGe4
_symmetry_space_group_name_H-M 'P -4 m 2'
_symmetry_Int_Tables_number 115
_cell_length_a 4.0602
_cell_length_b 4.0602
_cell_length_c 9.5984
_cell_angle_alpha 90.00
_cell_angle_beta 90.00
_cell_angle_gamma 90.00
loop_
_symmetry_equiv_pos_as_xyz
'x,y,z'
'y,-x,-z'
'-x,-y,z'
'-y,x,-z'
'-x,y,z'
'-y,-x,-z'
'x,-y,z'
'y,x,-z'
loop_
_atom_site_label
_atom_site_fract_x
_atom_site_fract_y
_atom_site_fract_z
Pa1 0.0000 0.5000 0.2479
Co1 0.0000 0.0000 0.0000
Co2 0.0000 0.5000 0.6278
Ni1 0.5000 0.5000 0.0000
Ge1 0.0000 0.0000 0.5000
Ge2 0.0000 0.5000 0.8676
Ge3 0.5000 0.5000 0.5000
```



The following is a DFT calculation (PBE-GGA) of a relaxed structure of SrPm3O.

Properties
raw total energy = -5.106 eV per atom
formation energy from raw total energies = -0.93 eV/atom
crystal system = cubic

Structure (CIF):
```
data_SrPm3O
_symmetry_space_group_name_H-M 'P m -3 m'
_symmetry_Int_Tables_number 221
_symmetry_space_group_name_Hall '-P 4 2 3'
_cell_length_a 5.1776
_cell_length_b 5.1776
_cell_length_c 5.1776
_cell_angle_alpha 90.00
_cell_angle_beta 90.00
_cell_angle_gamma 90.00
loop_
_atom_site_label
_atom_site_fract_x
_atom_site_fract_y
_atom_site_fract_z
Sr1 0.0000 0.0000 0.0000
Pm1 0.0000 0.5000 0.5000
O1 0.5000 0.5000 0.5000
```



The following is a DFT calculation (PBE-GGA) of a relaxed structure of Ac2PuF8.

Properties
raw total energy = -7.287 eV per atom
ΔE to the lowest computed polymorph = 0.0 meV per atom
formation energy from raw total energies = -3.88 eV/atom
crystal system = monoclinic

Structure (CIF):
```
data_Ac2PuF8
_symmetry_space_group_name_H-M 'C 1 2/m 1'
_symmetry_Int_Tables_number 12
_cell_length_a 15.0851
_cell_length_b 4.1462
_cell_length_c 6.0191
_cell_angle_alpha 90.00
_cell_angle_beta 111.58
_cell_angle_gamma 90.00
loop_
_symmetry_equiv_pos_as_xyz
'x,y,z'
'-x,-y,-z'
'-x,y,-z'
'x,-y,z'
'x+1/2,y+1/2,z'
'-x+1/2,-y+1/2,-z'
'-x+1/2,y+1/2,-z'
'x+1/2,-y+1/2,z'
loop_
_atom_site_label
_atom_site_fract_x
_atom_site_fract_y
_atom_site_fract_z
Ac1 0.1702 0.0000 0.1737
Pu1 0.0000 0.5000 0.5000
F1 0.0258 0.0000 0.2836
F2 0.0963 0.5000 0.9420
F3 0.1723 0.5000 0.4575
F4 0.2160 0.0000 0.8174
```



The following is a DFT calculation (PBE-GGA) of a relaxed structure of LaCd2In.

Properties
raw total energy = -2.744 eV per atom
formation enthalpy at 0 K = -0.3699 eV per atom
crystal system = orthorhombic

Structure (CIF):
```
data_LaCd2In
_symmetry_space_group_name_H-M 'P m m n'
_symmetry_Int_Tables_number 59
_cell_length_a 4.9188
_cell_length_b 6.5828
_cell_length_c 6.6381
_cell_angle_alpha 90.00
_cell_angle_beta 90.00
_cell_angle_gamma 90.00
loop_
_symmetry_equiv_pos_as_xyz
'x,y,z'
'-x,-y,-z'
'-x+1/2,-y+1/2,z'
'x+1/2,y+1/2,-z'
'x+1/2,-y,-z'
'-x+1/2,y,z'
'-x,y+1/2,-z'
'x,-y+1/2,z'
loop_
_atom_site_label
_atom_site_fract_x
_atom_site_fract_y
_atom_site_fract_z
La1 0.2500 0.2500 0.1038
Cd1 0.2500 0.5090 0.6439
In1 0.2500 0.7500 0.2435
```



The following is a DFT calculation (PBE-GGA) of a relaxed structure of Pm6ZnCu2.

Properties
raw total energy = -4.340 eV per atom
formation enthalpy at 0 K = -0.1216 eV per atom
crystal system = orthorhombic

Structure (CIF):
```
data_Pm6ZnCu2
_symmetry_space_group_name_H-M 'I m m m'
_symmetry_Int_Tables_number 71
_symmetry_space_group_name_Hall '-I 2 2'
_cell_length_a 9.7005
_cell_length_b 9.9781
_cell_length_c 10.2235
_cell_angle_alpha 90.00
_cell_angle_beta 90.00
_cell_angle_gamma 90.00
loop_
_atom_site_label
_atom_site_fract_x
_atom_site_fract_y
_atom_site_fract_z
Pm1 0.0000 0.1896 0.2472
Pm2 0.1987 0.5000 0.1758
Pm3 0.2277 0.3227 0.5000
Zn1 0.0000 0.0000 0.0000
Zn2 0.0000 0.0000 0.5000
Cu1 0.0000 0.3479 0.0000
Cu2 0.0000 0.5000 0.3809
```



The following is a DFT calculation (PBE-GGA) of a relaxed structure of Tm2In3Pd8.

Properties
raw total energy = -4.948 eV per atom
formation enthalpy at 0 K = -0.4330 eV per atom
crystal system = trigonal

Structure (CIF):
```
data_Tm2In3Pd8
_symmetry_space_group_name_H-M 'R -3 m'
_symmetry_Int_Tables_number 166
_symmetry_space_group_name_Hall '-R 3 2"'
_cell_length_a 5.3766
_cell_length_b 5.3766
_cell_length_c 30.5235
_cell_angle_alpha 90.00
_cell_angle_beta 90.00
_cell_angle_gamma 120.00
loop_
_atom_site_label
_atom_site_fract_x
_atom_site_fract_y
_atom_site_fract_z
Tm1 0.0000 0.0000 0.1308
In1 0.0000 0.0000 0.3102
In2 0.0000 0.0000 0.5000
Pd1 0.0000 0.0000 0.2209
Pd2 0.0018 0.5009 0.2777
```



The following is a DFT calculation (PBE-GGA) of a relaxed structure of YTm2ScRh4.

Properties
raw total energy = -7.335 eV per atom
formation enthalpy at 0 K = -0.9419 eV per atom
crystal system = trigonal

Structure (CIF):
```
data_YTm2ScRh4
_symmetry_space_group_name_H-M 'R -3 m'
_symmetry_Int_Tables_number 166
_symmetry_space_group_name_Hall '-R 3 2"'
_cell_length_a 4.7438
_cell_length_b 4.7438
_cell_length_c 23.3146
_cell_angle_alpha 90.00
_cell_angle_beta 90.00
_cell_angle_gamma 120.00
loop_
_atom_site_label
_atom_site_fract_x
_atom_site_fract_y
_atom_site_fract_z
Y1 0.0000 0.0000 0.0000
Tm1 0.0000 0.0000 0.2479
Sc1 0.0000 0.0000 0.5000
Rh1 0.0000 0.0000 0.1273
Rh2 0.0000 0.0000 0.3782
```



The following is a DFT calculation (PBE-GGA) of a relaxed structure of La2DyAg.

Properties
raw total energy = -4.419 eV per atom
formation enthalpy at 0 K = -0.0921 eV per atom
ΔE to the lowest computed polymorph = 29.8 meV per atom
crystal system = tetragonal

Structure (CIF):
```
data_La2DyAg
_symmetry_space_group_name_H-M 'P 4/m m m'
_symmetry_Int_Tables_number 123
_symmetry_space_group_name_Hall '-P 4 2'
_cell_length_a 3.8033
_cell_length_b 3.8033
_cell_length_c 8.6943
_cell_angle_alpha 90.00
_cell_angle_beta 90.00
_cell_angle_gamma 90.00
loop_
_atom_site_label
_atom_site_fract_x
_atom_site_fract_y
_atom_site_fract_z
La1 0.0000 0.0000 0.2205
Dy1 0.5000 0.5000 0.5000
Ag1 0.5000 0.5000 0.0000
```



The following is a DFT calculation (PBE-GGA) of a relaxed structure of CuSnS2N.

Properties
raw total energy = -3.827 eV per atom
ΔE to the lowest computed polymorph = 469.8 meV per atom
formation energy from raw total energies = 1.11 eV/atom
crystal system = tetragonal

Structure (CIF):
```
data_CuSnS2N
_symmetry_space_group_name_H-M 'P 4/m m m'
_symmetry_Int_Tables_number 123
_symmetry_space_group_name_Hall '-P 4 2'
_cell_length_a 5.0585
_cell_length_b 5.0585
_cell_length_c 3.9926
_cell_angle_alpha 90.00
_cell_angle_beta 90.00
_cell_angle_gamma 90.00
loop_
_atom_site_label
_atom_site_fract_x
_atom_site_fract_y
_atom_site_fract_z
Cu1 0.0000 0.0000 0.0000
Sn1 0.5000 0.5000 0.5000
S1 0.0000 0.5000 0.5000
N1 0.5000 0.5000 0.0000
```



The following is a DFT calculation (PBE-GGA) of a relaxed structure of SrInRe3.

Properties
raw total energy = -4.848 eV per atom
formation enthalpy at 0 K = 3.5048 eV per atom
ΔE to the lowest computed polymorph = 1055.4 meV per atom
crystal system = cubic

Structure (CIF):
```
data_SrInRe3
_symmetry_space_group_name_H-M 'P m -3 m'
_symmetry_Int_Tables_number 221
_symmetry_space_group_name_Hall '-P 4 2 3'
_cell_length_a 4.8457
_cell_length_b 4.8457
_cell_length_c 4.8457
_cell_angle_alpha 90.00
_cell_angle_beta 90.00
_cell_angle_gamma 90.00
loop_
_atom_site_label
_atom_site_fract_x
_atom_site_fract_y
_atom_site_fract_z
Sr1 0.0000 0.0000 0.0000
In1 0.5000 0.5000 0.5000
Re1 0.0000 0.0000 0.5000
```



The following is a DFT calculation (PBE-GGA) of a relaxed structure of PmHoTmMg.

Properties
raw total energy = -3.819 eV per atom
formation enthalpy at 0 K = 0.0292 eV per atom
ΔE to the lowest computed polymorph = 52.9 meV per atom
crystal system = cubic

Structure (CIF):
```
data_PmHoTmMg
_symmetry_space_group_name_H-M 'F -4 3 m'
_symmetry_Int_Tables_number 216
_symmetry_space_group_name_Hall 'F -4 2 3'
_cell_length_a 7.7900
_cell_length_b 7.7900
_cell_length_c 7.7900
_cell_angle_alpha 90.00
_cell_angle_beta 90.00
_cell_angle_gamma 90.00
loop_
_atom_site_label
_atom_site_fract_x
_atom_site_fract_y
_atom_site_fract_z
Pm1 0.0000 0.0000 0.0000
Ho1 0.0000 0.0000 0.5000
Tm1 0.2500 0.2500 0.2500
Mg1 0.2500 0.2500 0.7500
```



The following is a DFT calculation (PBE-GGA) of a relaxed structure of Ti4O5.

Properties
raw total energy = -8.962 eV per atom
formation energy from raw total energies = -2.70 eV/atom
crystal system = tetragonal

Structure (CIF):
```
data_Ti4O5
_symmetry_space_group_name_H-M 'I 4/m'
_symmetry_Int_Tables_number 87
_symmetry_space_group_name_Hall '-I 4'
_cell_length_a 6.6369
_cell_length_b 6.6369
_cell_length_c 4.1892
_cell_angle_alpha 90.00
_cell_angle_beta 90.00
_cell_angle_gamma 90.00
loop_
_atom_site_label
_atom_site_fract_x
_atom_site_fract_y
_atom_site_fract_z
Ti1 0.1068 0.2836 0.0000
O1 0.0000 0.0000 0.0000
O2 0.0921 0.3097 0.5000
```



The following is a DFT calculation (PBE-GGA) of a relaxed structure of MnBe2Os.

Properties
raw total energy = -6.930 eV per atom
formation enthalpy at 0 K = 0.0328 eV per atom
crystal system = monoclinic

Structure (CIF):
```
data_MnBe2Os
_symmetry_space_group_name_H-M 'P 1 2/m 1'
_symmetry_Int_Tables_number 10
_cell_length_a 2.5202
_cell_length_b 3.7330
_cell_length_c 4.7416
_cell_angle_alpha 90.00
_cell_angle_beta 98.66
_cell_angle_gamma 90.00
loop_
_symmetry_equiv_pos_as_xyz
'x,y,z'
'-x,-y,-z'
'-x,y,-z'
'x,-y,z'
loop_
_atom_site_label
_atom_site_fract_x
_atom_site_fract_y
_atom_site_fract_z
Mn1 0.0000 0.0000 0.0000
Be1 0.2639 0.5000 0.7578
Os1 0.5000 0.0000 0.5000
```